# 1
# NaSrHf3

Crystalline NaSrHf3 at its relaxed geometry (PBEsol, Alexandria).

a b c (Å): 5.2298 5.2298 5.2298
angles (deg): 90.00 90.00 90.00
Last column: nearest neighbours and their distance in Å.
Sites, in units of the cell vectors:
1 Na 0.5000 0.5000 0.5000  12 Hf 3.70
2 Hf 0.5000 0.0000 0.0000  2 Sr 2.61
3 Hf 0.0000 0.5000 0.0000  2 Sr 2.61
4 Hf 0.0000 0.0000 0.5000  2 Sr 2.61
5 Sr 0.0000 0.0000 0.0000  6 Hf 2.61

The space group is Pm-3m (221). As for the formation enthalpy at 0 K: 2021 meV/atom.

***

# 2
# NaHfTa3

Crystalline NaHfTa3 at its relaxed geometry (PBEsol, Alexandria).

a b c (Å): 4.6460 4.6460 4.6460
angles (deg): 90.00 90.00 90.00
Last column: nearest neighbours and their distance in Å.
Sites, in units of the cell vectors:
1 Hf 0.5000 0.5000 0.5000  12 Ta 3.29
2 Ta 0.0000 0.5000 0.0000  2 Na 2.32
3 Ta 0.5000 0.0000 0.0000  2 Na 2.32
4 Ta 0.0000 0.0000 0.5000  2 Na 2.32
5 Na 0.0000 0.0000 0.0000  6 Ta 2.32

The space group is Pm-3m (221). As for the formation enthalpy at 0 K: 2129 meV/atom.

***

# 3
# NaHf3Te

Crystalline NaHf3Te at its relaxed geometry (PBEsol, Alexandria).

a b c (Å): 5.2496 5.2496 5.2496
angles (deg): 90.00 90.00 90.00
Last column: nearest neighbours and their distance in Å.
Sites, in units of the cell vectors:
1 Hf 0.0000 0.0000 0.5000  2 Te 2.62
2 Te 0.0000 0.0000 0.0000  6 Hf 2.62
3 Na 0.5000 0.5000 0.5000  12 Hf 3.71
4 Hf 0.5000 0.0000 0.0000  2 Te 2.62
5 Hf 0.0000 0.5000 0.0000  2 Te 2.62

The space group is Pm-3m (221). The total energy comes out at -31.7 eV per cell.

***

# 4
# NaHfTl3

Crystalline NaHfTl3 at its relaxed geometry (PBEsol, Alexandria).

a b c (Å): 5.5529 5.5529 5.5529
angles (deg): 90.00 90.00 90.00
Last column: nearest neighbours and their distance in Å.
Sites, in units of the cell vectors:
1 Tl 0.0000 0.0000 0.5000  2 Hf 2.78
2 Hf 0.0000 0.0000 0.0000  6 Tl 2.78
3 Tl 0.0000 0.5000 0.0000  2 Hf 2.78
4 Tl 0.5000 0.0000 0.0000  2 Hf 2.78
5 Na 0.5000 0.5000 0.5000  12 Tl 3.93

The space group is Pm-3m (221). The calculation puts the distance to the lowest polymorph of the same formula at 0 meV per atom. As for the formation enthalpy at 0 K: 380 meV/atom.